No. 1
This record from Alexandria describes an optimized crystal structure of BeTlBr2. The functional is PBE.

POSCAR file:
```
BeTlBr2
1.0
-0.9166 -3.0062 1.7317
1.0421 -1.9470 -2.8283
7.2709 -0.4823 3.0110
Be Tl Br
1 1 2
direct
0.5000 0.5000 0.7500 Be
0.5000 0.5000 0.2500 Tl
0.0000 0.0000 0.9533 Br
0.0000 0.0000 0.5467 Br
```

Values from the calculation:
crystal system	tetragonal
formation energy from raw total energies	134	meV/atom
N(E_F)	2.1	states/eV/cell

No. 2
This record from Alexandria describes an optimized crystal structure of AlOs2Br. The functional is PBE.

POSCAR file:
```
AlOs2Br
1.0
-0.4067 -2.0201 2.2826
2.0622 -1.8781 -1.2947
4.6943 2.8433 3.3527
Os Al Br
2 1 1
direct
0.0000 0.0000 0.0255 Os
0.0000 0.0000 0.4745 Os
0.5000 0.5000 0.2500 Al
0.5000 0.5000 0.7500 Br
```

Values from the calculation:
crystal system	tetragonal
formation energy from raw total energies	695	meV/atom
N(E_F)	2.4	states/eV/cell

No. 3
This record from Alexandria describes an optimized crystal structure of NdZn3Ag2. The functional is PBE.

POSCAR file:
```
NdZn3Ag2
1.0
5.6569 0.0000 0.0000
0.0000 6.3959 -1.1891
0.0000 0.1366 6.5041
Nd Zn Ag
2 6 4
direct
0.2500 0.3385 0.3385 Nd
0.7500 0.6615 0.6615 Nd
0.7500 0.4336 0.1288 Zn
0.7500 0.1288 0.4336 Zn
0.2500 0.5664 0.8712 Zn
0.7500 0.0389 0.0389 Zn
0.2500 0.9611 0.9611 Zn
0.2500 0.8712 0.5664 Zn
0.5000 0.7747 0.2253 Ag
0.0000 0.7747 0.2253 Ag
0.0000 0.2253 0.7747 Ag
0.5000 0.2253 0.7747 Ag
```

Values from the calculation:
crystal system	orthorhombic
electronic total energy	-2.565	eV/atom
N(E_F)	6.4	states/eV/cell